Record 1
4
Lattice="0.000 2.800 2.800 2.800 0.000 2.800 2.800 2.800 0.000" Properties=species:S:1:pos:R:3 comment="ZnCo2Ni (SCAN, PBEsol geometry)" formation_energy_ev_per_atom=-0.03 space_group="No. 216" m_tot_mub_per_atom=1.043 dos_at_fermi_per_ev_cell=3.69 pbc="T T T"
Zn 0.000 0.000 0.000
Co 2.800 2.800 2.800
Co 4.200 4.200 4.200
Ni 1.400 1.400 1.400

=====

Record 2
5
Lattice="5.461 0.000 0.000 0.000 5.461 0.000 0.000 0.000 5.461" Properties=species:S:1:pos:R:3 comment="Tl3PI (SCAN, PBEsol geometry)" space_group="No. 221" formation_energy_uncorrected_ev_per_fu=0.173 m_tot_mub_per_atom=0.000 dos_at_fermi_per_ev_cell=1.30 pbc="T T T"
Tl 0.000 0.000 2.730
Tl 0.000 2.730 0.000
Tl 2.730 0.000 0.000
P 0.000 0.000 0.000
I 2.730 2.730 2.730

=====

Record 3
4
Lattice="3.135 0.000 0.000 0.000 3.671 0.000 0.000 0.000 7.434" Properties=species:S:1:pos:R:3 comment="ZnIn2As (SCAN, PBEsol geometry)" formation_energy_ev_per_atom=0.15 space_group="No. 25" m_tot_mub_per_atom=0.000 de_polymorph_mev_per_atom=0 dos_at_fermi_per_ev_cell=1.77 pbc="T T T"
Zn 0.000 0.000 0.000
In 0.000 0.000 3.217
In 1.567 1.836 5.573
As 1.567 1.836 1.212

=====

Record 4
5
Lattice="6.030 0.000 0.000 0.000 6.030 0.000 0.000 0.000 4.051" Properties=species:S:1:pos:R:3 comment="YTl2AgN (SCAN, PBEsol geometry)" space_group="No. 123" formation_energy_uncorrected_ev_per_fu=2.641 m_tot_mub_per_atom=0.029 dos_at_fermi_per_ev_cell=1.95 pbc="T T T"
Y 0.000 0.000 0.000
Tl 0.000 3.015 0.000
Tl 3.015 0.000 0.000
Ag 3.015 3.015 2.025
N 0.000 0.000 2.025

=====

What did the third record say?
4
Lattice="3.135 0.000 0.000 0.000 3.671 0.000 0.000 0.000 7.434" Properties=species:S:1:pos:R:3 comment="ZnIn2As (SCAN, PBEsol geometry)" formation_energy_ev_per_atom=0.15 space_group="No. 25" m_tot_mub_per_atom=0.000 de_polymorph_mev_per_atom=0 dos_at_fermi_per_ev_cell=1.77 pbc="T T T"
Zn 0.000 0.000 0.000
In 0.000 0.000 3.217
In 1.567 1.836 5.573
As 1.567 1.836 1.212